# PBE-GGA Nd2Ho5Tl, relaxed
# DOS at the Fermi energy = 1.35 states/eV per atom
# formation energy = -0.06 eV/atom
data_Nd2Ho5Tl
_chemical_formula_sum 'Nd4 Ho10 Tl2'
_space_group_name_H-M_alt 'I 4/m m m'
_space_group_IT_number 139
_space_group_name_Hall '-I 4 2'
_cell_length_a 4.9133
_cell_length_b 4.9133
_cell_length_c 20.3694
_cell_angle_alpha 90.00
_cell_angle_beta 90.00
_cell_angle_gamma 90.00
loop_
_atom_site_label
_atom_site_type_symbol
_atom_site_fract_x
_atom_site_fract_y
_atom_site_fract_z
Nd1 Nd 0.0000 0.0000 0.2439
Ho1 Ho 0.0000 0.0000 0.0000
Ho2 Ho 0.0000 0.5000 0.1195
Tl1 Tl 0.0000 0.0000 0.5000